(1)
Compound: PrThAl2
Source: the Alexandria database
Functional: PBE
Structure: relaxed

POSCAR file:
```
PrThAl2
1.0
-2.295 -1.908 -1.770
2.365 -2.514 -0.357
-2.696 -3.582 7.357
Al Th Pr
2 1 1
direct
0.000 0.000 0.248 Al
0.000 0.000 0.752 Al
0.500 0.500 0.000 Th
0.500 0.500 0.500 Pr
```

Results
As for the space-group type: P4/mmm, No. 123. Its excess energy over the best structure of this formula in the dataset is 0 meV/atom. Its crystal system is tetragonal.

(2)
Compound: PrTh2Al
Source: the Alexandria database
Functional: PBE
Structure: relaxed

POSCAR file:
```
PrTh2Al
1.0
-3.307 1.531 -0.352
-1.473 -3.306 -0.548
-1.346 -0.869 8.859
Pr Th Al
1 2 1
direct
0.500 0.500 0.500 Pr
0.000 0.000 0.791 Th
0.000 0.000 0.209 Th
0.500 0.500 0.000 Al
```

Results
As for the space-group type: P4/mmm, No. 123. Its excess energy over the best structure of this formula in the dataset is 67 meV/atom. Its crystal system is tetragonal.

Per-record DFT formation energy, eV/f.u.: -1.10 -0.14